A crystal of Rh2AuSe relaxed with PBEsol. Source: Alexandria via LeMat-Bulk, functional meta-GGA SCAN.

The structure in POSCAR format:
```
Rh2AuSe
1.0
2.9423 0.0000 0.0000
0.0000 4.4192 0.0000
0.0000 0.0000 9.4612
Rh Au Se
4 2 2
Direct
0.0000 0.0000 0.0000
0.0000 0.5000 0.2379
0.5000 0.0000 0.7379
0.5000 0.5000 0.5000
0.0000 0.0000 0.4616
0.5000 0.5000 0.9616
0.0000 0.5000 0.7039
0.5000 0.0000 0.2039
```

Symmetry: Imm2
Electronic total energy in eV/atom: -39.0277
Formation energy (no corrections) in eV per formula unit: 0.67
M_tot in μB per cell: 0.000